# Ho3CuSn

A geometry-optimized Ho3CuSn structure (PBE-GGA, Alexandria).

Geometry as POSCAR:
```
Ho3CuSn
1.0
5.880 0.000 0.000
0.000 10.388 0.000
0.000 0.000 8.271
Ho Cu Sn
12 4 4
Cartesian
0.005 1.012 1.165
0.005 4.182 1.165
1.271 7.791 2.362
1.669 2.597 6.498
2.934 6.206 5.301
2.934 9.376 5.301
2.945 1.012 2.971
2.945 4.182 2.971
4.211 7.791 1.773
4.609 2.597 5.909
5.874 6.206 7.106
5.874 9.376 7.106
0.466 2.597 3.491
2.474 7.791 7.626
3.406 2.597 0.645
5.414 7.791 4.781
0.000 0.000 4.136
0.000 5.194 4.136
2.940 0.000 0.000
2.940 5.194 0.000
```

Summary:
Energy of formation = -0.22 eV per atom
D(E_F) = 15.5 states/eV/cell